# Ca2ZnSe, optimized geometry, DFT GGA-PBEsol
# * raw formation energy: -0.843 eV/atom
# * D(E_F): 1.89 states/eV per cell
# * uncorrected energy: -3.27 eV/atom
# * crystal system: tetragonal
# * calculated volume: 23.40 Å³/atom
# * ΔE to the lowest computed polymorph: 68 meV/atom
data_Ca2ZnSe
_chemical_formula_sum 'Ca2 Zn1 Se1'
_cell_length_a 5.040
_cell_length_b 5.040
_cell_length_c 3.684
_cell_angle_alpha 90.00
_cell_angle_beta 90.00
_cell_angle_gamma 90.00
_space_group_name_H-M_alt 'P 4/m m m'
_space_group_IT_number 123
_space_group_name_Hall '-P 4 2'
loop_
_atom_site_label
_atom_site_fract_x
_atom_site_fract_y
_atom_site_fract_z
_atom_site_occupancy
Ca1 0.000 0.500 0.000 1
Zn1 0.000 0.000 0.500 1
Se1 0.500 0.500 0.500 1

=====

# Rb2In2Sb3, optimized geometry, DFT GGA-PBEsol
# * raw formation energy: -0.345 eV/atom
# * uncorrected energy: -3.44 eV/atom
# * crystal system: monoclinic
# * calculated volume: 36.20 Å³/atom
data_Rb2In2Sb3
_chemical_formula_sum 'Rb16 In16 Sb24'
_cell_length_a 15.529
_cell_length_b 7.557
_cell_length_c 17.273
_cell_angle_alpha 90.00
_cell_angle_beta 90.59
_cell_angle_gamma 90.00
_space_group_name_H-M_alt 'P 1 21/c 1'
_space_group_IT_number 14
loop_
_space_group_symop_operation_xyz
'x,y,z'
'-x,-y,-z'
'-x,y+1/2,-z+1/2'
'x,-y+1/2,z+1/2'
loop_
_atom_site_label
_atom_site_fract_x
_atom_site_fract_y
_atom_site_fract_z
_atom_site_occupancy
Rb1 0.056 0.053 0.103 1
Rb2 0.153 0.546 0.021 1
Rb3 0.358 0.029 0.007 1
Rb4 0.424 0.532 0.112 1
In1 0.094 0.736 0.259 1
In2 0.184 0.219 0.332 1
In3 0.319 0.735 0.323 1
In4 0.407 0.212 0.271 1
Sb1 0.023 0.035 0.338 1
Sb2 0.171 0.566 0.391 1
Sb3 0.250 0.665 0.674 1
Sb4 0.251 0.214 0.179 1
Sb5 0.336 0.055 0.406 1
Sb6 0.476 0.536 0.329 1

=====

# RhBrCl, optimized geometry, DFT GGA-PBEsol
# * raw formation energy: 1.089 eV/atom
# * D(E_F): 25.14 states/eV per cell
# * uncorrected energy: -2.92 eV/atom
# * crystal system: cubic
# * calculated volume: 21.52 Å³/atom
data_RhBrCl
_chemical_formula_sum 'Rh4 Br4 Cl4'
_cell_length_a 6.369
_cell_length_b 6.369
_cell_length_c 6.369
_cell_angle_alpha 90.00
_cell_angle_beta 90.00
_cell_angle_gamma 90.00
_space_group_name_H-M_alt 'F -4 3 m'
_space_group_IT_number 216
_space_group_name_Hall 'F -4 2 3'
loop_
_atom_site_label
_atom_site_fract_x
_atom_site_fract_y
_atom_site_fract_z
_atom_site_occupancy
Rh1 0.000 0.000 0.000 1
Br1 0.000 0.000 0.500 1
Cl1 0.250 0.250 0.750 1

=====

# CoRhC3, optimized geometry, DFT GGA-PBEsol
# * ΔH_f (0 K): 2.543 eV/atom
# * D(E_F): 5.61 states/eV per cell
# * uncorrected energy: -6.42 eV/atom
# * crystal system: cubic
# * calculated volume: 11.61 Å³/atom
data_CoRhC3
_chemical_formula_sum 'Co1 Rh1 C3'
_cell_length_a 3.872
_cell_length_b 3.872
_cell_length_c 3.872
_cell_angle_alpha 90.00
_cell_angle_beta 90.00
_cell_angle_gamma 90.00
_space_group_name_H-M_alt 'P m -3 m'
_space_group_IT_number 221
_space_group_name_Hall '-P 4 2 3'
loop_
_atom_site_label
_atom_site_fract_x
_atom_site_fract_y
_atom_site_fract_z
_atom_site_occupancy
Co1 0.000 0.000 0.000 1
Rh1 0.500 0.500 0.500 1
C1 0.000 0.500 0.500 1

=====

# AsP2IrCl, optimized geometry, DFT GGA-PBEsol
# * raw formation energy: 1.433 eV/atom
# * D(E_F): 5.80 states/eV per cell
# * uncorrected energy: -4.27 eV/atom
# * crystal system: tetragonal
# * calculated volume: 18.78 Å³/atom
data_AsP2IrCl
_chemical_formula_sum 'As1 P2 Ir1 Cl1'
_cell_length_a 4.640
_cell_length_b 4.640
_cell_length_c 4.362
_cell_angle_alpha 90.00
_cell_angle_beta 90.00
_cell_angle_gamma 90.00
_space_group_name_H-M_alt 'P 4/m m m'
_space_group_IT_number 123
_space_group_name_Hall '-P 4 2'
loop_
_atom_site_label
_atom_site_fract_x
_atom_site_fract_y
_atom_site_fract_z
_atom_site_occupancy
As1 0.000 0.000 0.000 1
P1 0.000 0.500 0.000 1
Ir1 0.500 0.500 0.500 1
Cl1 0.000 0.000 0.500 1

=====

# TeIrBr, optimized geometry, DFT GGA-PBEsol
# * raw formation energy: 1.074 eV/atom
# * D(E_F): 5.20 states/eV per cell
# * uncorrected energy: -4.00 eV/atom
# * crystal system: cubic
# * calculated volume: 23.79 Å³/atom
data_TeIrBr
_chemical_formula_sum 'Te4 Ir4 Br4'
_cell_length_a 6.585
_cell_length_b 6.585
_cell_length_c 6.585
_cell_angle_alpha 90.00
_cell_angle_beta 90.00
_cell_angle_gamma 90.00
_space_group_name_H-M_alt 'F -4 3 m'
_space_group_IT_number 216
_space_group_name_Hall 'F -4 2 3'
loop_
_atom_site_label
_atom_site_fract_x
_atom_site_fract_y
_atom_site_fract_z
_atom_site_occupancy
Te1 0.000 0.000 0.000 1
Ir1 0.250 0.250 0.250 1
Br1 0.250 0.250 0.750 1

=====

# Ti3CuBr, optimized geometry, DFT GGA-PBEsol
# * raw formation energy: 0.679 eV/atom
# * D(E_F): 7.83 states/eV per cell
# * uncorrected energy: -5.55 eV/atom
# * crystal system: cubic
# * calculated volume: 19.09 Å³/atom
data_Ti3CuBr
_chemical_formula_sum 'Ti3 Cu1 Br1'
_cell_length_a 4.570
_cell_length_b 4.570
_cell_length_c 4.570
_cell_angle_alpha 90.00
_cell_angle_beta 90.00
_cell_angle_gamma 90.00
_space_group_name_H-M_alt 'P m -3 m'
_space_group_IT_number 221
_space_group_name_Hall '-P 4 2 3'
loop_
_atom_site_label
_atom_site_fract_x
_atom_site_fract_y
_atom_site_fract_z
_atom_site_occupancy
Ti1 0.000 0.000 0.500 1
Cu1 0.500 0.500 0.500 1
Br1 0.000 0.000 0.000 1

=====

# Ba2AsRh, optimized geometry, DFT GGA-PBEsol
# * ΔH_f (0 K): -0.659 eV/atom
# * D(E_F): 2.73 states/eV per cell
# * uncorrected energy: -5.05 eV/atom
# * crystal system: orthorhombic
# * calculated volume: 29.47 Å³/atom
data_Ba2AsRh
_chemical_formula_sum 'Ba4 As2 Rh2'
_cell_length_a 4.585
_cell_length_b 4.802
_cell_length_c 10.709
_cell_angle_alpha 90.00
_cell_angle_beta 90.00
_cell_angle_gamma 90.00
_space_group_name_H-M_alt 'A m m 2'
_space_group_IT_number 38
loop_
_space_group_symop_operation_xyz
'x,y,z'
'-x,-y,z'
'-x,y,z'
'x,-y,z'
'x,y+1/2,z+1/2'
'-x,-y+1/2,z+1/2'
'-x,y+1/2,z+1/2'
'x,-y+1/2,z+1/2'
loop_
_atom_site_label
_atom_site_fract_x
_atom_site_fract_y
_atom_site_fract_z
_atom_site_occupancy
Ba1 0.000 0.000 0.000 1
Ba2 0.500 0.000 0.293 1
As1 0.500 0.000 0.600 1
Rh1 0.000 0.000 0.690 1